12
Lattice="3.119 -5.402 0.000 3.119 5.402 0.000 -2.072 0.000 11.669" Properties=species:S:1:pos:R:3 comment="PBE PmNd2Sm3Dy6, optimized geometry" formation_energy_ev_per_atom=0.01 final_energy_ev_per_atom=-4.66 space_group="C2/m (12)" pbc="T T T"
Pm 0.000 0.000 0.000
Nd 3.119 1.800 0.000
Nd 3.119 -1.800 0.000
Sm 2.083 3.600 5.835
Sm 2.083 0.000 5.835
Sm 2.083 -3.600 5.835
Dy 1.042 1.800 2.930
Dy 0.004 0.000 8.739
Dy 1.042 -1.800 2.930
Dy 3.124 1.800 8.740
Dy 4.162 0.000 2.930
Dy 3.124 -1.800 8.740